[1]
The following is a PBE calculation of a relaxed structure of BaTiBi2Au, from the Alexandria database.

```
5
Lattice="-3.785 3.024 2.450 -3.891 -2.860 -2.480 -0.090 -3.444 4.112" Properties=species:S:1:pos:R:3 pbc="T T T"
Bi -1.946 -1.430 -1.240
Au -0.045 -1.722 2.056
Ti 0.000 0.000 0.000
Ba -3.883 -1.640 2.041
Bi -1.892 1.512 1.225
```

Computed properties:
Final energy   -22.72 eV per cell
Crystal system   tetragonal

[2]
The following is a PBE calculation of a relaxed structure of BaTl2Bi2Au, from the Alexandria database.

```
6
Lattice="-0.305 -2.534 4.263 2.156 -3.915 -2.173 7.782 6.569 1.567" Properties=species:S:1:pos:R:3 pbc="T T T"
Ba 0.925 -3.225 1.045
Bi 2.436 0.936 0.731
Tl 4.201 0.405 3.438
Tl 5.431 -0.285 0.220
Au 0.000 0.000 0.000
Bi 7.196 -0.815 2.927
```

Computed properties:
Final energy   -18.83 eV per cell
Crystal system   tetragonal

[3]
The following is a PBE calculation of a relaxed structure of Ba2VBiAu, from the Alexandria database.

```
5
Lattice="6.759 0.000 0.000 0.000 6.759 0.000 0.000 0.000 5.334" Properties=species:S:1:pos:R:3 pbc="T T T"
Ba 0.000 3.379 0.000
Au 0.000 0.000 2.667
V 3.379 3.379 2.667
Ba 3.379 0.000 0.000
Bi 0.000 0.000 0.000
```

Computed properties:
Polymorph energy (0 for the lowest one)   287 meV per atom
Final energy   -17.64 eV per cell
Crystal system   tetragonal

[4]
The following is a PBE calculation of a relaxed structure of Ba2VBiAu, from the Alexandria database.

```
5
Lattice="6.723 0.000 0.000 0.000 5.203 0.000 0.000 0.000 6.723" Properties=species:S:1:pos:R:3 pbc="T T T"
Au 3.362 2.601 3.362
Ba 0.000 0.000 3.362
Bi 0.000 0.000 0.000
Ba 3.362 0.000 0.000
V 0.000 2.601 0.000
```

Computed properties:
Polymorph energy (0 for the lowest one)   0 meV per atom
Final energy   -19.08 eV per cell
Crystal system   tetragonal

[5]
The following is a PBE calculation of a relaxed structure of BaBi2WAu, from the Alexandria database.

```
5
Lattice="-0.468 -4.435 -3.568 4.666 1.179 -2.077 2.560 -3.362 3.843" Properties=species:S:1:pos:R:3 pbc="T T T"
Au 0.000 0.000 0.000
Bi -0.234 -2.218 -1.784
W 2.333 0.590 -1.039
Ba 3.379 -3.309 -0.901
Bi 1.280 -1.681 1.921
```

Computed properties:
Final energy   -22.09 eV per cell
Crystal system   tetragonal

[6]
The following is a PBE calculation of a relaxed structure of BaYBi2Au, from the Alexandria database.

```
5
Lattice="-2.597 5.088 -0.573 -6.117 -2.868 2.260 1.384 1.316 5.414" Properties=species:S:1:pos:R:3 pbc="T T T"
Y 0.000 0.000 0.000
Bi 0.692 0.658 2.707
Au -3.665 1.768 3.551
Bi -1.298 2.544 -0.286
Ba -3.058 -1.434 1.130
```

Computed properties:
Final energy   -18.30 eV per cell
Crystal system   tetragonal